First-principles (PBE) data for crystalline Mg2CdMoS at its relaxed geometry, as listed in Alexandria.

Output
Final energy ... -2.64 eV per atom
Total magnetic moment ... 4.6 μB/cell
E_form (uncorrected) ... 112.99 kJ per mole of atoms

abc: 5.2714 5.2714 4.9976
angles: 90.00 90.00 90.00
With the nearest neighbours (Å) after each atom.
Atoms (fractional coordinates):
1 Mg 0.0000 0.5000 0.0000  2 Cd 2.64
2 Mg 0.5000 0.0000 0.0000  2 Cd 2.64
3 Cd 0.0000 0.0000 0.0000  2 S 2.50, 4 Mg 2.64
4 Mo 0.5000 0.5000 0.5000  8 Mg 3.63, 4 S 3.73
5 S 0.0000 0.0000 0.5000  2 Cd 2.50



First-principles (PBE) data for crystalline Ga5FeCo4 at its relaxed geometry, as listed in Alexandria.

Output
Final energy ... -5.44 eV per atom
Total magnetic moment ... 0.2 μB/cell
DFT formation energy ... -0.24 eV per atom

abc: 2.8850 2.8850 14.3698
angles: 90.00 90.00 90.00
With the nearest neighbours (Å) after each atom.
Atoms (fractional coordinates):
1 Ga 0.0000 0.0000 0.0000  8 Co 2.49
2 Ga 0.0000 0.0000 0.2003  8 Co 2.48-2.50
3 Ga 0.0000 0.0000 0.4010  4 Fe 2.49, 4 Co 2.52
4 Ga 0.0000 0.0000 0.5990  4 Fe 2.49, 4 Co 2.52
5 Ga 0.0000 0.0000 0.7997  8 Co 2.48-2.50
6 Fe 0.5000 0.5000 0.5000  8 Ga 2.49
7 Co 0.5000 0.5000 0.0995  8 Ga 2.49-2.50
8 Co 0.5000 0.5000 0.2984  8 Ga 2.48-2.52
9 Co 0.5000 0.5000 0.7016  8 Ga 2.48-2.52
10 Co 0.5000 0.5000 0.9005  8 Ga 2.49-2.50



First-principles (PBE) data for crystalline Ca2LaSe at its relaxed geometry, as listed in Alexandria.

Output
Final energy ... -3.57 eV per atom
Total magnetic moment ... 0.0 μB/cell
E_form (uncorrected) ... -44.55 kJ per mole of atoms

abc: 4.5451 4.5451 6.2575
angles: 90.00 90.00 90.00
With the nearest neighbours (Å) after each atom.
Atoms (fractional coordinates):
1 Ca 0.0000 0.5000 0.0000  4 Ca 3.21
2 Ca 0.5000 0.0000 0.0000  4 Ca 3.21
3 La 0.0000 0.0000 0.5000  4 Se 3.21
4 Se 0.5000 0.5000 0.5000  4 La 3.21



First-principles (PBE) data for crystalline CrSb2Te at its relaxed geometry, as listed in Alexandria.

Output
Final energy ... -5.10 eV per atom
Total magnetic moment ... 3.8 μB/cell
E_form (uncorrected) ... 15.02 kJ per mole of atoms

abc: 4.1960 5.1964 5.1964
angles: 70.57 90.00 90.00
With the nearest neighbours (Å) after each atom.
Atoms (fractional coordinates):
1 Cr 0.0000 0.0000 0.0000  2 Te 2.78, 4 Sb 2.89-3.00
2 Sb 0.0000 0.4862 0.4862  2 Sb 2.99, 2 Cr 3.00, 2 Te 3.29
3 Sb 0.5000 0.2344 0.2344  2 Cr 2.89, 2 Sb 2.99, 2 Te 3.03
4 Te 0.5000 0.7844 0.7844  2 Cr 2.78, 2 Sb 3.03



Q: Which formula does entry 2 have?
A: Ga5FeCo4